## KTcP (PBE-GGA)

Data for an optimized crystal structure of KTcP.

POSCAR file:
```
KTcP
1.0
4.021 0.000 0.000
0.000 4.021 0.000
0.000 0.000 10.136
K Tc P
2 2 2
Direct
0.250 0.250 0.204
0.750 0.750 0.796
0.250 0.750 0.500
0.750 0.250 0.500
0.250 0.250 0.626
0.750 0.750 0.374
```

The calculation puts the total energy at -6.02 eV per atom.